# GGA-PBE ZrNi2W, optimized geometry
# - Space-group type: Pm (6)
# - Offset from the most stable computed form: 7 meV per atom
data_ZrNi2W
_symmetry_space_group_name_H-M 'P 1'
_symmetry_Int_Tables_number 1
_cell_length_a 2.798
_cell_length_b 4.379
_cell_length_c 4.843
_cell_angle_alpha 90.00
_cell_angle_beta 95.95
_cell_angle_gamma 90.00
loop_
_symmetry_equiv_pos_as_xyz
'x,y,z'
loop_
_atom_site_label
_atom_site_fract_x
_atom_site_fract_y
_atom_site_fract_z
Zr1 0.000 0.000 0.000
Ni1 0.563 0.500 0.153
Ni2 0.568 0.000 0.484
W1 0.182 0.500 0.609

=====

# GGA-PBE Zr2Ni9W, optimized geometry
# - Space-group type: P4/mmm (123)
# - Total DFT energy (no corrections): -7.06 eV/atom
data_Zr2Ni9W
_symmetry_space_group_name_H-M 'P 1'
_symmetry_Int_Tables_number 1
_cell_length_a 3.731
_cell_length_b 3.731
_cell_length_c 11.127
_cell_angle_alpha 90.00
_cell_angle_beta 90.00
_cell_angle_gamma 90.00
loop_
_symmetry_equiv_pos_as_xyz
'x,y,z'
loop_
_atom_site_label
_atom_site_fract_x
_atom_site_fract_y
_atom_site_fract_z
Zr1 0.000 0.000 0.170
Zr2 0.000 0.000 0.830
Ni1 0.000 0.500 0.000
Ni2 0.000 0.500 0.343
Ni3 0.000 0.500 0.657
Ni4 0.500 0.000 0.000
Ni5 0.500 0.000 0.343
Ni6 0.500 0.000 0.657
Ni7 0.500 0.500 0.171
Ni8 0.500 0.500 0.500
Ni9 0.500 0.500 0.829
W1 0.000 0.000 0.500

=====

# GGA-PBE ZrNi2W, optimized geometry
# - Space-group type: P4mm (99)
# - Offset from the most stable computed form: 0 meV per atom
data_ZrNi2W
_symmetry_space_group_name_H-M 'P 1'
_symmetry_Int_Tables_number 1
_cell_length_a 3.169
_cell_length_b 3.169
_cell_length_c 5.985
_cell_angle_alpha 90.00
_cell_angle_beta 90.00
_cell_angle_gamma 90.00
loop_
_symmetry_equiv_pos_as_xyz
'x,y,z'
loop_
_atom_site_label
_atom_site_fract_x
_atom_site_fract_y
_atom_site_fract_z
Zr1 0.000 0.000 0.000
Ni1 0.000 0.000 0.469
Ni2 0.500 0.500 0.253
W1 0.500 0.500 0.676

=====

# GGA-PBE ZrNiW, optimized geometry
# - Space-group type: Fmm2 (42)
# - Offset from the most stable computed form: 72 meV per atom
data_ZrNiW
_symmetry_space_group_name_H-M 'P 1'
_symmetry_Int_Tables_number 1
_cell_length_a 6.434
_cell_length_b 6.432
_cell_length_c 2.812
_cell_angle_alpha 77.40
_cell_angle_beta 77.34
_cell_angle_gamma 25.25
loop_
_symmetry_equiv_pos_as_xyz
'x,y,z'
loop_
_atom_site_label
_atom_site_fract_x
_atom_site_fract_y
_atom_site_fract_z
Zr1 0.000 0.000 0.000
Ni1 0.333 0.333 0.667
W1 0.694 0.694 0.306